Model w:
# PBE CoOsPt, optimized geometry
data_CoOsPt
_space_group_name_H-M_alt 'P -6 m 2'
_space_group_IT_number 187
_space_group_name_Hall 'P -6 2'
_cell_length_a 4.2409
_cell_length_b 4.2409
_cell_length_c 2.6273
_cell_angle_alpha 90.00
_cell_angle_beta 90.00
_cell_angle_gamma 120.00
loop_
_atom_site_label
_atom_site_type_symbol
_atom_site_fract_x
_atom_site_fract_y
_atom_site_fract_z
Co1 Co 0.0000 0.0000 0.0000
Os1 Os 0.6667 0.3333 0.5000
Pt1 Pt 0.3333 0.6667 0.0000
# size of the total moment: 0.40 μB/f.u.

Model x:
# PBE CoOsPt, optimized geometry
data_CoOsPt
_space_group_name_H-M_alt 'F -4 3 m'
_space_group_IT_number 216
_space_group_name_Hall 'F -4 2 3'
_cell_length_a 5.662
_cell_length_b 5.662
_cell_length_c 5.662
_cell_angle_alpha 90.00
_cell_angle_beta 90.00
_cell_angle_gamma 90.00
loop_
_atom_site_label
_atom_site_type_symbol
_atom_site_fract_x
_atom_site_fract_y
_atom_site_fract_z
Co1 Co 0.000 0.000 0.000
Os1 Os 0.250 0.250 0.250
Pt1 Pt 0.250 0.250 0.750
# size of the total moment: 0.34 μB/f.u.

Which structure above is the least stable? It is model x.